Below is TaHgTe2O8 after structural relaxation, with properties calculated at the GGA-PBE level.

```
TaHgTe2O8
1.0
5.980 -2.834 0.000
5.980 2.834 0.000
-2.417 0.000 4.972
Ta Hg Te O
1 1 2 8
Direct
0.000 0.000 0.000
0.500 0.500 0.500
0.271 0.271 0.779
0.729 0.729 0.221
0.088 0.088 0.782
0.139 0.630 0.756
0.325 0.325 0.158
0.370 0.861 0.244
0.630 0.139 0.756
0.675 0.675 0.842
0.861 0.370 0.244
0.912 0.912 0.218
```

energy relative to the elements, uncorrected = -1.24 eV/atom
M_tot = 0.00 μB/f.u.
final energy = -6.079 eV per atom
calculated volume = 168.5 Å³/cell
symmetry = No. 12